# 1
This record from the Alexandria database describes a relaxed structure of NiPb2F6. The functional is PBE+U.

a = 3.507 Å, b = 5.220 Å, c = 8.200 Å
α = 85.23°, β = 90.00°, γ = 109.63°
Site moments in Bohr magnetons follow the coordinates.
Atoms (fractional coordinates):
Ni  0.500  0.000  0.500  1.83
Pb  0.263  0.526  0.216  0.00
Pb  0.737  0.474  0.784  0.00
F  0.881  0.762  0.449  0.05
F  0.119  0.238  0.551  0.05
F  0.849  0.699  0.033  0.00
F  0.151  0.301  0.967  0.00
F  0.582  0.163  0.272  0.02
F  0.418  0.837  0.728  0.02

Properties
DOS at the Fermi energy	0.000	states/eV per atom
V	15.65	Å³ per atom
excess energy over the best structure of this formula in the dataset	45	meV per atom
energy	-4.584	eV per atom

***

# 2
This record from the Alexandria database describes a relaxed structure of Ni2PbF. The functional is PBE+U.

a = 4.714 Å, b = 4.714 Å, c = 7.363 Å
α = 71.33°, β = 71.33°, γ = 90.00°
Site moments in Bohr magnetons follow the coordinates.
Atoms (fractional coordinates):
Pb  0.000  0.000  0.000  -0.04
Pb  0.750  0.250  0.500  -0.04
Ni  0.290  0.125  0.250  0.97
Ni  0.460  0.625  0.250  0.97
Ni  0.375  0.710  0.750  0.98
Ni  0.875  0.540  0.750  0.97
F  0.500  0.500  0.000  0.01
F  0.250  0.750  0.500  0.01

Properties
DOS at the Fermi energy	0.450	states/eV per atom
V	18.24	Å³ per atom
excess energy over the best structure of this formula in the dataset	0	meV per atom
energy	-2.747	eV per atom

***

# 3
This record from the Alexandria database describes a relaxed structure of NiPb3F. The functional is PBE+U.

a = 4.994 Å, b = 4.994 Å, c = 4.994 Å
α = 90.00°, β = 90.00°, γ = 90.00°
Atoms (fractional coordinates):
Pb  0.000  0.500  0.000
Pb  0.000  0.000  0.500
Pb  0.500  0.000  0.000
Ni  0.500  0.500  0.500
F  0.000  0.000  0.000

Properties
DOS at the Fermi energy	0.778	states/eV per atom
V	24.90	Å³ per atom
excess energy over the best structure of this formula in the dataset	189	meV per atom
energy	-2.912	eV per atom

***

# 4
This record from the Alexandria database describes a relaxed structure of NiPbF2. The functional is PBE+U.

a = 5.508 Å, b = 5.508 Å, c = 6.463 Å
α = 64.78°, β = 64.78°, γ = 90.00°
Site moments in Bohr magnetons follow the coordinates.
Atoms (fractional coordinates):
Pb  0.000  0.000  0.000  0.03
Pb  0.750  0.250  0.500  0.03
Ni  0.500  0.500  0.000  1.75
Ni  0.250  0.750  0.500  1.75
F  0.459  0.125  0.250  0.05
F  0.291  0.625  0.250  0.05
F  0.375  0.541  0.750  0.05
F  0.875  0.709  0.750  0.05

Properties
DOS at the Fermi energy	0.295	states/eV per atom
V	19.56	Å³ per atom
excess energy over the best structure of this formula in the dataset	367	meV per atom
energy	-3.584	eV per atom

***

# 5
This record from the Alexandria database describes a relaxed structure of NiPb2F6. The functional is PBE+U.

a = 5.353 Å, b = 5.353 Å, c = 10.887 Å
α = 90.00°, β = 90.00°, γ = 90.00°
Site moments in Bohr magnetons follow the coordinates.
Atoms (fractional coordinates):
Ni  0.000  0.000  0.000  1.83
Ni  0.500  0.500  0.500  1.83
Pb  0.000  0.000  0.335  0.00
Pb  0.500  0.500  0.835  0.00
Pb  0.500  0.500  0.165  0.00
Pb  0.000  0.000  0.665  0.00
F  0.321  0.321  0.358  0.02
F  0.679  0.679  0.358  0.02
F  0.179  0.821  0.858  0.02
F  0.821  0.179  0.858  0.02
F  0.179  0.821  0.142  0.02
F  0.821  0.179  0.142  0.02
F  0.321  0.321  0.642  0.02
F  0.679  0.679  0.642  0.02
F  0.271  0.271  0.000  0.02
F  0.729  0.729  0.000  0.02
F  0.229  0.771  0.500  0.02
F  0.771  0.229  0.500  0.02

Properties
DOS at the Fermi energy	0.000	states/eV per atom
V	17.33	Å³ per atom
excess energy over the best structure of this formula in the dataset	0	meV per atom
energy	-4.629	eV per atom

***

# 6
This record from the Alexandria database describes a relaxed structure of NiPbF2. The functional is PBE+U.

a = 4.320 Å, b = 4.320 Å, c = 4.320 Å
α = 60.00°, β = 60.00°, γ = 60.00°
Atoms (fractional coordinates):
Pb  0.500  0.500  0.500
Ni  0.000  0.000  0.000
F  0.250  0.250  0.250
F  0.750  0.750  0.750

Properties
DOS at the Fermi energy	0.000	states/eV per atom
V	14.26	Å³ per atom
excess energy over the best structure of this formula in the dataset	783	meV per atom
energy	-3.168	eV per atom

***

# 7
This record from the Alexandria database describes a relaxed structure of Ni2PbF. The functional is PBE+U.

a = 4.292 Å, b = 4.292 Å, c = 4.292 Å
α = 60.00°, β = 60.00°, γ = 60.00°
Atoms (fractional coordinates):
Pb  0.500  0.500  0.500
Ni  0.250  0.250  0.250
Ni  0.750  0.750  0.750
F  0.000  0.000  0.000

Properties
DOS at the Fermi energy	0.314	states/eV per atom
V	13.98	Å³ per atom
excess energy over the best structure of this formula in the dataset	582	meV per atom
energy	-2.165	eV per atom

***

# 8
This record from the Alexandria database describes a relaxed structure of NiPbF4. The functional is PBE+U.

a = 5.732 Å, b = 7.681 Å, c = 8.117 Å
α = 103.39°, β = 90.00°, γ = 90.00°
Site moments in Bohr magnetons follow the coordinates.
Atoms (fractional coordinates):
Ni  0.230  0.170  0.796  1.84
Ni  0.270  0.170  0.296  1.84
Ni  0.730  0.830  0.704  1.84
Ni  0.770  0.830  0.204  1.84
Pb  0.722  0.312  0.595  0.01
Pb  0.778  0.312  0.095  0.01
Pb  0.222  0.688  0.905  0.01
Pb  0.278  0.688  0.405  0.01
F  0.912  0.057  0.729  0.05
F  0.588  0.057  0.229  0.05
F  0.321  0.174  0.548  0.05
F  0.179  0.174  0.048  0.05
F  0.504  0.334  0.857  0.04
F  0.028  0.396  0.830  0.03
F  0.996  0.334  0.357  0.04
F  0.472  0.396  0.330  0.03
F  0.528  0.604  0.670  0.03
F  0.004  0.666  0.643  0.04
F  0.972  0.604  0.170  0.03
F  0.496  0.666  0.143  0.04
F  0.821  0.826  0.952  0.05
F  0.679  0.826  0.452  0.05
F  0.412  0.943  0.771  0.05
F  0.088  0.943  0.271  0.05

Properties
DOS at the Fermi energy	0.000	states/eV per atom
V	14.49	Å³ per atom
energy	-4.570	eV per atom

***

# 9
This record from the Alexandria database describes a relaxed structure of NiPb2F11. The functional is PBE+U.

a = 8.589 Å, b = 8.263 Å, c = 8.263 Å
α = 74.34°, β = 58.69°, γ = 58.69°
Site moments in Bohr magnetons follow the coordinates.
Atoms (fractional coordinates):
Ni  0.750  0.750  0.750  2.25
Ni  0.250  0.250  0.250  2.25
Pb  0.606  0.700  0.300  0.00
Pb  0.394  0.300  0.700  0.00
Pb  0.894  0.200  0.800  0.00
Pb  0.106  0.800  0.200  0.00
F  0.466  0.832  0.545  0.01
F  0.534  0.168  0.455  0.01
F  0.158  0.545  0.832  0.01
F  0.034  0.955  0.668  0.01
F  0.842  0.455  0.168  0.01
F  0.966  0.045  0.332  0.01
F  0.342  0.668  0.955  0.01
F  0.658  0.332  0.045  0.01
F  0.500  0.500  0.500  0.00
F  0.000  0.000  0.000  0.00
F  0.867  0.736  0.264  0.00
F  0.133  0.264  0.736  0.00
F  0.633  0.236  0.764  0.00
F  0.367  0.764  0.236  0.00
F  0.479  0.033  0.232  0.15
F  0.521  0.967  0.768  0.15
F  0.257  0.232  0.033  0.15
F  0.021  0.268  0.467  0.15
F  0.743  0.768  0.967  0.15
F  0.979  0.732  0.533  0.15
F  0.243  0.467  0.268  0.15
F  0.757  0.533  0.732  0.15

Properties
V	15.29	Å³ per atom
energy	-3.879	eV per atom

***

# 10
This record from the Alexandria database describes a relaxed structure of NiPbF3. The functional is PBE+U.

a = 4.164 Å, b = 4.164 Å, c = 4.164 Å
α = 90.00°, β = 90.00°, γ = 90.00°
Site moments in Bohr magnetons follow the coordinates.
Atoms (fractional coordinates):
Pb  0.500  0.500  0.500  -0.03
Ni  0.000  0.000  0.000  1.74
F  0.000  0.500  0.000  0.04
F  0.000  0.000  0.500  0.01
F  0.500  0.000  0.000  0.06

Properties
DOS at the Fermi energy	0.646	states/eV per atom
V	14.44	Å³ per atom
energy	-4.102	eV per atom

***

# 11
This record from the Alexandria database describes a relaxed structure of NiPbF2. The functional is PBE+U.

a = 8.775 Å, b = 8.775 Å, c = 8.775 Å
α = 21.02°, β = 21.02°, γ = 21.02°
Site moments in Bohr magnetons follow the coordinates.
Atoms (fractional coordinates):
Pb  0.000  0.000  0.000  0.00
Ni  0.500  0.500  0.500  1.81
F  0.870  0.870  0.870  0.07
F  0.130  0.130  0.130  0.07

Properties
DOS at the Fermi energy	0.142	states/eV per atom
V	19.03	Å³ per atom
excess energy over the best structure of this formula in the dataset	0	meV per atom
energy	-3.951	eV per atom

***

# 12
This record from the Alexandria database describes a relaxed structure of NiPb2F. The functional is PBE+U.

a = 5.530 Å, b = 5.530 Å, c = 7.537 Å
α = 68.48°, β = 68.48°, γ = 90.00°
Atoms (fractional coordinates):
Pb  0.625  0.125  0.250
Pb  0.125  0.625  0.250
Pb  0.375  0.375  0.750
Pb  0.875  0.875  0.750
Ni  0.000  0.000  0.000
Ni  0.750  0.250  0.500
F  0.500  0.500  0.000
F  0.250  0.750  0.500

Properties
DOS at the Fermi energy	0.283	states/eV per atom
V	24.63	Å³ per atom
excess energy over the best structure of this formula in the dataset	37	meV per atom
energy	-3.109	eV per atom